Computed, not measured: crystalline Tb2YTmS6 at its relaxed geometry at the GGA-PBE level of DFT.

Cell lengths 6.9070, 6.9072, 7.3426 Å; angles 61.95, 61.95, 60.00 degrees
Last column: nearest neighbours and their distance in Å.
Atoms (fractional coordinates):
S (0.1149, 0.4188, 0.7543)  1 Y 2.72, 2 Tb 2.73-2.80, 1 Tm 2.75
S (0.2144, 0.9242, 0.2522)  1 Tm 2.69, 2 Tb 2.73-2.81, 1 Y 2.79
Y (0.8158, 0.8158, 0.5526)  6 S 2.72-2.79
S (0.4188, 0.7120, 0.7543)  1 Y 2.72, 2 Tb 2.73-2.80, 1 Tm 2.75
S (0.9242, 0.6093, 0.2522)  1 Tm 2.69, 2 Tb 2.73-2.81, 1 Y 2.79
S (0.7120, 0.1149, 0.7542)  1 Y 2.72, 2 Tb 2.73-2.80, 1 Tm 2.75
S (0.6092, 0.2144, 0.2522)  1 Tm 2.69, 2 Tb 2.73-2.81, 1 Y 2.79
Tb (0.0171, 0.0171, 0.9487)  6 S 2.73-2.81
Tm (0.3171, 0.3171, 0.0486)  6 S 2.69-2.75
Tb (0.5180, 0.5180, 0.4460)  6 S 2.73-2.80

## Properties
space group = R3, No. 146
raw formation energy = -20.615 eV/f.u.

---

Computed, not measured: crystalline Pu2CuO11 at its relaxed geometry at the GGA-PBE level of DFT.

Cell lengths 8.6828, 9.1600, 8.2952 Å; angles 66.56, 51.72, 57.26 degrees
Last column: nearest neighbours and their distance in Å.
Atoms (fractional coordinates):
Pu (0.3252, 0.2137, 0.7564)  4 O 1.81-1.87
O (0.4478, 0.5547, 0.5821)  2 O 1.37-1.38
O (0.1916, 0.5028, 0.3128)  1 Pu 1.87, 1 Cu 1.94
O (0.0770, 0.2262, 0.4689)  1 Cu 1.91, 1 Pu 1.91
O (0.1730, 0.9283, 0.2596)  1 Pu 1.80
O (0.7950, 0.4972, 0.6968)  1 Pu 1.87, 1 Cu 1.94
O (0.9135, 0.7733, 0.5408)  1 Pu 1.90, 1 Cu 1.91
O (0.8764, 0.5730, 0.2451)  1 Pu 1.81
Cu (0.6666, 0.7297, 0.7700)  4 O 1.91-1.95
O (0.4441, 0.1840, 0.4920)  1 Pu 1.82
O (0.0959, 0.9443, 0.9174)  2 O 1.37-1.40
O (0.4897, 0.9784, 0.8010)  1 Pu 1.87, 1 Cu 1.95
O (0.5745, 0.8221, 0.4852)  1 Pu 1.82
Cu (0.3281, 0.2665, 0.2452)  4 O 1.91-1.95
O (0.5613, 0.3763, 0.5981)  1 O 1.38
Pu (0.1812, 0.7201, 0.2855)  4 O 1.80-1.91
Pu (0.8096, 0.2776, 0.7265)  4 O 1.80-1.91
O (0.4346, 0.6764, 0.0171)  1 Pu 1.91, 1 Cu 1.91
O (0.2411, 0.2554, 0.0014)  1 Pu 1.81
O (0.1267, 0.4287, 0.7356)  1 Pu 1.82
O (0.7473, 0.7436, 0.9900)  1 Pu 1.82
O (0.4988, 0.0218, 0.1934)  1 Pu 1.88, 1 Cu 1.95
O (0.5571, 0.3207, 0.9958)  1 Cu 1.91, 1 Pu 1.91
O (0.8186, 0.0694, 0.7494)  1 Pu 1.80
Pu (0.6768, 0.7882, 0.2282)  4 O 1.81-1.88
O (0.0273, 0.1249, 0.8934)  1 O 1.40
O (0.4534, 0.6173, 0.3989)  1 O 1.37
O (0.9679, 0.8853, 0.1136)  1 O 1.37

## Properties
space group = P1, No. 1
raw formation energy = -18.351 eV/f.u.

---

Computed, not measured: crystalline ScFeSi2 at its relaxed geometry at the GGA-PBE level of DFT.

Cell lengths 4.3054, 4.3054, 4.3054 Å; angles 60.00, 60.00, 60.00 degrees
Last column: nearest neighbours and their distance in Å.
Atoms (fractional coordinates):
Si (0.2500, 0.2500, 0.2500)  4 Fe 2.64, 4 Sc 2.64
Si (0.7500, 0.7500, 0.7500)  4 Fe 2.64, 4 Sc 2.64
Sc (0.0000, 0.0000, 0.0000)  8 Si 2.64
Fe (0.5000, 0.5000, 0.5000)  8 Si 2.64

## Properties
space group = Fm-3m, No. 225
raw formation energy = -0.704 eV/f.u.

---

Computed, not measured: crystalline MgCrGaCo at its relaxed geometry at the GGA-PBE level of DFT.

Cell lengths 4.2751, 4.2751, 4.2751 Å; angles 60.00, 60.00, 60.00 degrees
Last column: nearest neighbours and their distance in Å.
Atoms (fractional coordinates):
Co (0.7500, 0.7500, 0.7500)  4 Mg 2.62, 4 Ga 2.62
Mg (0.5000, 0.5000, 0.5000)  4 Co 2.62, 4 Cr 2.62
Cr (0.2500, 0.2500, 0.2500)  4 Ga 2.62, 4 Mg 2.62
Ga (0.0000, 0.0000, 0.0000)  4 Cr 2.62, 4 Co 2.62

## Properties
space group = F-43m, No. 216
energy of formation = 0.043 eV per atom

---

Computed, not measured: crystalline Na3Tl3SiO8 at its relaxed geometry at the GGA-PBE level of DFT.

Cell lengths 6.5369, 6.5377, 6.7533 Å; angles 118.96, 90.00, 120.00 degrees
Last column: nearest neighbours and their distance in Å.
Atoms (fractional coordinates):
O (0.1990, 0.3980, 0.6915)  1 Si 1.87
O (0.2066, 0.0075, 0.3085)  1 Si 1.87
Tl (0.0000, 0.5000, 0.5000)  6 O 2.28-2.35
O (0.7425, 0.4851, 0.7274)  3 Tl 2.28, 3 Na 2.43
Na (0.0000, 0.5000, 0.0000)  6 O 2.43-2.45
Si (0.0000, 0.0000, 0.5000)  6 O 1.87
O (0.2575, 0.5149, 0.2726)  3 Tl 2.28, 3 Na 2.43
O (0.8009, 0.0075, 0.3085)  1 Si 1.87
O (0.7934, 0.9925, 0.6915)  1 Si 1.87
Na (0.0000, 0.0000, 0.0000)  6 O 2.43-2.45
Na (0.5000, 0.5000, 0.0000)  6 O 2.43-2.45
Tl (0.5000, 0.5000, 0.5000)  6 O 2.28-2.35
Tl (0.5000, 0.0000, 0.5000)  6 O 2.28-2.35
O (0.1991, 0.9925, 0.6915)  1 Si 1.87
O (0.8010, 0.6020, 0.3085)  1 Si 1.87

## Properties
space group = R-3m, No. 166
raw formation energy = -20.073 eV/f.u.

---

Computed, not measured: crystalline Na2MgPt at its relaxed geometry at the GGA-PBE level of DFT.

Cell lengths 3.9528, 3.9528, 11.2266 Å; angles 79.86, 79.86, 90.00 degrees
Last column: nearest neighbours and their distance in Å.
Atoms (fractional coordinates):
Pt (0.7500, 0.2500, 0.5000)  4 Mg 2.80, 4 Na 3.03
Na (0.6425, 0.1250, 0.2500)  4 Na 2.70-2.89
Mg (0.5000, 0.5000, 0.0000)  4 Pt 2.80, 4 Na 3.08
Mg (0.2500, 0.7500, 0.5000)  4 Pt 2.80, 4 Na 3.08
Pt (0.0000, 0.0000, 0.0000)  4 Mg 2.80, 4 Na 3.03
Na (0.8750, 0.8925, 0.7500)  4 Na 2.70-2.89
Na (0.3750, 0.3575, 0.7500)  4 Na 2.70-2.89
Na (0.1075, 0.6250, 0.2500)  4 Na 2.70-2.89

## Properties
space group = I-42d, No. 122
energy of formation = -0.043 eV per atom

---

| no. | V (A^3/atom) | total magnetization (Bohr magnetons per cell) | VASP energy (eV per atom) |
| --- | --- | --- | --- |
| 1 | 25.47 | 0.00 | -6.5575 |
| 2 | 15.49 | 5.09 | -7.5465 |
| 3 | 14.11 | 0.00 | -6.5860 |
| 4 | 13.81 | 3.16 | -5.2949 |
| 5 | 13.82 | 0.00 | -5.0811 |
| 6 | 21.24 | 0.00 | -2.6111 |